[1]
Below is a geometry-optimized PmSm2Al3 structure, with properties calculated at the GGA-PBE level.

a b c (Å): 3.6796 3.6796 11.0868
angles (deg): 90.00 90.00 90.00
Closest atoms and distances in Å follow each position.
Sites, in units of the cell vectors:
Al (0.0000, 0.0000, 0.3314)  4 Sm 3.18, 4 Pm 3.20
Al (0.0000, 0.0000, 0.0000)  8 Sm 3.19
Al (0.0000, 0.0000, 0.6686)  4 Sm 3.18, 4 Pm 3.20
Sm (0.5000, 0.5000, 0.8341)  8 Al 3.18-3.19
Sm (0.5000, 0.5000, 0.1659)  8 Al 3.18-3.19
Pm (0.5000, 0.5000, 0.5000)  8 Al 3.20

Values from the calculation:
The calculation puts the total magnetization at 0.00 μB per formula unit. The calculated formation energy comes out at -2.231 eV per formula unit. For the calculated total energy, the calculation gives -4.6079 eV/atom. The value obtained for the density of states at the Fermi level is 2.25 states/eV per cell. For the density, the calculation gives 5.8 Mg/m³.

***

[2]
Below is a geometry-optimized Pr2Ho3Tm6 structure, with properties calculated at the GGA-PBE level.

a b c (Å): 6.0572 6.0625 11.6429
angles (deg): 84.99 79.94 60.03
Closest atoms and distances in Å follow each position.
Sites, in units of the cell vectors:
Tm (0.9179, 0.6667, 0.2456)  3 Ho 3.46-3.47, 6 Tm 3.50, 2 Pr 3.55
Tm (0.7486, 0.0000, 0.7543)  3 Ho 3.46-3.47, 6 Tm 3.50, 2 Pr 3.55
Tm (0.5847, 0.3333, 0.2456)  3 Ho 3.46-3.47, 6 Tm 3.50, 2 Pr 3.55
Tm (0.4153, 0.6667, 0.7544)  3 Ho 3.46-3.47, 6 Tm 3.50, 2 Pr 3.55
Tm (0.0821, 0.3333, 0.7544)  3 Ho 3.46-3.47, 6 Tm 3.50, 2 Pr 3.55
Tm (0.2514, 0.0000, 0.2457)  3 Ho 3.46-3.47, 6 Tm 3.50, 2 Pr 3.55
Ho (0.6650, 0.6700, 0.0000)  6 Tm 3.46-3.47, 6 Ho 3.47-3.52
Ho (0.3350, 0.3300, 0.0000)  6 Tm 3.46-3.47, 6 Ho 3.47-3.52
Ho (0.0000, 0.0000, 0.0000)  6 Tm 3.46-3.47, 6 Ho 3.49-3.52
Pr (0.1667, 0.6666, 0.5000)  3 Pr 3.50, 6 Tm 3.55
Pr (0.8333, 0.3334, 0.5000)  3 Pr 3.50, 6 Tm 3.55

Values from the calculation:
The calculation puts the total magnetization at 0.01 μB per formula unit. As for the excess energy over the best structure of this formula in the dataset: 0 meV/atom. The calculated formation energy comes out at 2.046 eV per formula unit. For the calculated total energy, the calculation gives -4.3705 eV/atom. The value obtained for the density of states at the Fermi level is 17.49 states/eV per cell. For the density, the calculation gives 8.2 Mg/m³.

***

[3]
Below is a geometry-optimized NdHf2Pd9 structure, with properties calculated at the GGA-PBE level.

a b c (Å): 4.0724 4.0724 12.2274
angles (deg): 90.00 90.00 90.00
Closest atoms and distances in Å follow each position.
Sites, in units of the cell vectors:
Hf (0.0000, 0.0000, 0.3358)  12 Pd 2.79-2.88
Hf (0.0000, 0.0000, 0.6642)  12 Pd 2.79-2.88
Pd (0.5000, 0.5000, 0.0000)  4 Nd 2.88, 8 Pd 3.00
Pd (0.5000, 0.5000, 0.6603)  8 Pd 2.82-2.83, 4 Hf 2.88
Pd (0.0000, 0.5000, 0.8199)  2 Hf 2.79, 8 Pd 2.82-3.00, 2 Nd 3.00
Pd (0.0000, 0.5000, 0.5000)  8 Pd 2.83-2.88, 4 Hf 2.86
Pd (0.5000, 0.5000, 0.3397)  8 Pd 2.82-2.83, 4 Hf 2.88
Pd (0.0000, 0.5000, 0.1801)  2 Hf 2.79, 8 Pd 2.82-3.00, 2 Nd 3.00
Pd (0.5000, 0.0000, 0.1801)  2 Hf 2.79, 8 Pd 2.82-3.00, 2 Nd 3.00
Pd (0.5000, 0.0000, 0.8199)  2 Hf 2.79, 8 Pd 2.82-3.00, 2 Nd 3.00
Pd (0.5000, 0.0000, 0.5000)  8 Pd 2.83-2.88, 4 Hf 2.86
Nd (0.0000, 0.0000, 0.0000)  12 Pd 2.88-3.00

Values from the calculation:
The calculation puts the total magnetization at 0.00 μB per formula unit. The calculated formation energy comes out at -10.263 eV per formula unit. For the calculated total energy, the calculation gives -6.8061 eV/atom. The value obtained for the density of states at the Fermi level is 1.02 states/eV per cell. For the density, the calculation gives 11.9 Mg/m³.

***

[4]
Below is a geometry-optimized TlSiOsS2 structure, with properties calculated at the GGA-PBE level.

a b c (Å): 5.0470 5.3163 5.0470
angles (deg): 90.00 90.00 90.00
Closest atoms and distances in Å follow each position.
Sites, in units of the cell vectors:
Tl (0.0000, 0.0000, 0.0000)  4 S 2.52, 2 Os 2.66
Si (0.5000, 0.5000, 0.5000)  4 Os 3.57, 8 S 3.67
S (0.5000, 0.0000, 0.0000)  2 Tl 2.52
S (0.0000, 0.0000, 0.5000)  2 Tl 2.52
Os (0.0000, 0.5000, 0.0000)  2 Tl 2.66

Values from the calculation:
The calculation puts the total magnetization at 3.17 μB per formula unit. For the calculated total energy, the calculation gives -3.4666 eV/atom. The value obtained for the density of states at the Fermi level is 3.31 states/eV per cell. For the density, the calculation gives 6.0 Mg/m³.

***

[5]
Below is a geometry-optimized HfSnAsBr2 structure, with properties calculated at the GGA-PBE level.

a b c (Å): 5.1903 5.1903 5.3512
angles (deg): 90.00 90.00 90.00
Closest atoms and distances in Å follow each position.
Sites, in units of the cell vectors:
Hf (0.0000, 0.0000, 0.0000)  4 Br 2.60, 2 As 2.68
Br (0.0000, 0.5000, 0.0000)  2 Hf 2.60
Br (0.5000, 0.0000, 0.0000)  2 Hf 2.60
Sn (0.5000, 0.5000, 0.5000)  4 As 3.67, 8 Br 3.73
As (0.0000, 0.0000, 0.5000)  2 Hf 2.68

Values from the calculation:
The calculation puts the total magnetization at 0.00 μB per formula unit. As for the excess energy over the best structure of this formula in the dataset: 0 meV/atom. For the calculated total energy, the calculation gives -4.6558 eV/atom. The value obtained for the density of states at the Fermi level is 3.20 states/eV per cell. For the density, the calculation gives 6.1 Mg/m³.

***

[6]
Below is a geometry-optimized ZnAs2Pb structure, with properties calculated at the GGA-PBE level.

a b c (Å): 5.1564 5.1564 5.1564
angles (deg): 125.26 125.26 81.10
Closest atoms and distances in Å follow each position.
Sites, in units of the cell vectors:
As (0.0000, 0.0000, 0.0000)  4 As 3.08, 4 Zn 3.08, 4 Pb 3.35
As (0.2500, 0.7500, 0.5000)  4 As 3.08, 4 Pb 3.08, 4 Zn 3.35
Pb (0.5000, 0.5000, 0.0000)  8 As 3.08-3.35, 4 Zn 3.08
Zn (0.7500, 0.2500, 0.5000)  8 As 3.08-3.35, 4 Pb 3.08

Values from the calculation:
The calculation puts the total magnetization at 0.00 μB per formula unit. The calculated formation energy comes out at 1.237 eV per formula unit. For the calculated total energy, the calculation gives -3.2610 eV/atom. The value obtained for the density of states at the Fermi level is 2.00 states/eV per cell. For the density, the calculation gives 8.0 Mg/m³.

***

[7]
Below is a geometry-optimized Pu4In16Ni3 structure, with properties calculated at the GGA-PBE level.

a b c (Å): 6.6431 6.6431 12.2405
angles (deg): 90.00 90.00 90.00
Closest atoms and distances in Å follow each position.
Sites, in units of the cell vectors:
Pu (0.0000, 0.5000, 0.8066)  12 In 3.28-3.34
Pu (0.5000, 0.0000, 0.8066)  12 In 3.28-3.34
Pu (0.5000, 0.0000, 0.1934)  12 In 3.28-3.34
Pu (0.0000, 0.5000, 0.1934)  12 In 3.28-3.34
In (0.7286, 0.7286, 0.0000)  1 Ni 2.55
In (0.2714, 0.7286, 0.0000)  1 Ni 2.55
In (0.7486, 0.2514, 0.6202)  2 Ni 2.77, 1 In 2.94
In (0.2514, 0.2514, 0.6202)  2 Ni 2.77, 1 In 2.94
In (0.0000, 0.0000, 0.7897)  1 Ni 2.57
In (0.5000, 0.5000, 0.8028)  8 In 3.23, 4 Pu 3.32
In (0.2514, 0.7486, 0.6202)  2 Ni 2.77, 1 In 2.94
In (0.5000, 0.5000, 0.1972)  8 In 3.23, 4 Pu 3.32
In (0.7486, 0.7486, 0.6202)  2 Ni 2.77, 1 In 2.94
In (0.2714, 0.2714, 0.0000)  1 Ni 2.55
In (0.2514, 0.7486, 0.3798)  2 Ni 2.77, 1 In 2.94
In (0.0000, 0.0000, 0.2103)  1 Ni 2.57
In (0.2514, 0.2514, 0.3798)  2 Ni 2.77, 1 In 2.94
In (0.7486, 0.2514, 0.3798)  2 Ni 2.77, 1 In 2.94
In (0.7486, 0.7486, 0.3798)  2 Ni 2.77, 1 In 2.94
In (0.7286, 0.2714, 0.0000)  1 Ni 2.55
Ni (0.0000, 0.0000, 0.0000)  6 In 2.55-2.57
Ni (0.5000, 0.0000, 0.5000)  8 In 2.77
Ni (0.0000, 0.5000, 0.5000)  8 In 2.77

Values from the calculation:
The calculation puts the total magnetization at 22.95 μB per formula unit. The calculated formation energy comes out at -4.358 eV per formula unit. For the calculated total energy, the calculation gives -5.3411 eV/atom. The value obtained for the density of states at the Fermi level is 48.98 states/eV per cell. For the density, the calculation gives 9.2 Mg/m³.

***

[8]
Below is a geometry-optimized MnTlMo structure, with properties calculated at the GGA-PBE level.

a b c (Å): 7.1904 6.9582 2.9261
angles (deg): 82.55 73.65 23.80
Closest atoms and distances in Å follow each position.
Sites, in units of the cell vectors:
Tl (0.6637, 0.6637, 0.3363)  2 Mn 2.89, 4 Tl 2.93, 2 Mo 2.99
Mo (0.3496, 0.3496, 0.6504)  2 Mn 2.47
Mn (0.9868, 0.9868, 0.0132)  2 Mo 2.47

Values from the calculation:
The calculation puts the total magnetization at 2.35 μB per formula unit. As for the excess energy over the best structure of this formula in the dataset: 76 meV/atom. The calculated formation energy comes out at 1.767 eV per formula unit. For the calculated total energy, the calculation gives -6.8666 eV/atom. The value obtained for the density of states at the Fermi level is 1.85 states/eV per cell. For the density, the calculation gives 11.0 Mg/m³.

***

[9]
Below is a geometry-optimized Pr2Rh4Pb3 structure, with properties calculated at the GGA-PBE level.

a b c (Å): 6.2349 7.3451 9.1657
angles (deg): 90.00 109.88 90.00
Closest atoms and distances in Å follow each position.
Sites, in units of the cell vectors:
Rh (0.8372, 0.0286, 0.6745)  5 Pb 2.81-2.86, 2 Rh 2.99, 1 Pr 3.04
Rh (0.1752, 0.7500, 0.8504)  3 Pb 2.73-2.78, 2 Pr 2.94, 2 Rh 2.99
Rh (0.3372, 0.4714, 0.6745)  5 Pb 2.81-2.86, 2 Rh 2.99, 1 Pr 3.04
Rh (0.8248, 0.2500, 0.1496)  3 Pb 2.73-2.78, 2 Pr 2.94, 2 Rh 2.99
Rh (0.6628, 0.5286, 0.3255)  5 Pb 2.81-2.86, 2 Rh 2.99, 1 Pr 3.04
Rh (0.6752, 0.7500, 0.8504)  3 Pb 2.73-2.78, 2 Pr 2.94, 2 Rh 2.99
Rh (0.3248, 0.2500, 0.1496)  3 Pb 2.73-2.78, 2 Pr 2.94, 2 Rh 2.99
Rh (0.1628, 0.9714, 0.3255)  5 Pb 2.81-2.86, 2 Rh 2.99, 1 Pr 3.04
Pb (0.4859, 0.2500, 0.4718)  5 Rh 2.78-2.86
Pb (0.9859, 0.2500, 0.4718)  5 Rh 2.78-2.86
Pb (0.0000, 0.0000, 0.0000)  6 Rh 2.73-2.81
Pb (0.5141, 0.7500, 0.5282)  5 Rh 2.78-2.86
Pb (0.0141, 0.7500, 0.5282)  5 Rh 2.78-2.86
Pb (0.5000, 0.5000, 0.0000)  6 Rh 2.73-2.81
Pr (0.1018, 0.5837, 0.2035)  3 Rh 2.94-3.04
Pr (0.3982, 0.0837, 0.7965)  3 Rh 2.94-3.04
Pr (0.6018, 0.9163, 0.2035)  3 Rh 2.94-3.04
Pr (0.8982, 0.4163, 0.7965)  3 Rh 2.94-3.04

Values from the calculation:
The calculation puts the total magnetization at 0.00 μB per formula unit. The calculated formation energy comes out at -3.910 eV per formula unit. For the calculated total energy, the calculation gives -6.0000 eV/atom. The value obtained for the density of states at the Fermi level is 11.31 states/eV per cell. For the density, the calculation gives 11.1 Mg/m³.

***

[10]
Below is a geometry-optimized ZrInIr2 structure, with properties calculated at the GGA-PBE level.

a b c (Å): 7.2634 7.2634 5.9321
angles (deg): 52.25 52.25 90.00
Closest atoms and distances in Å follow each position.
Sites, in units of the cell vectors:
In (0.0000, 0.0000, 0.0000)  4 Ir 2.73, 2 Zr 2.97
In (0.7500, 0.2500, 0.5000)  4 Ir 2.73, 2 Zr 2.97
Zr (0.5000, 0.5000, 0.0000)  4 Ir 2.62
Zr (0.2500, 0.7500, 0.5000)  4 Ir 2.62
Ir (0.1366, 0.6250, 0.2500)  2 Zr 2.62, 2 In 2.73
Ir (0.6134, 0.1250, 0.2500)  2 Zr 2.62, 2 In 2.73
Ir (0.8750, 0.8634, 0.7500)  2 Zr 2.62, 2 In 2.73
Ir (0.3750, 0.3866, 0.7500)  2 Zr 2.62, 2 In 2.73

Values from the calculation:
The calculation puts the total magnetization at 0.00 μB per formula unit. The calculated formation energy comes out at 0.151 eV per formula unit. For the calculated total energy, the calculation gives -7.2143 eV/atom. The value obtained for the density of states at the Fermi level is 7.31 states/eV per cell. For the density, the calculation gives 12.5 Mg/m³.

***

[11]
Below is a geometry-optimized CoWBr2 structure, with properties calculated at the GGA-PBE level.

a b c (Å): 3.2777 3.2777 8.4933
angles (deg): 90.00 90.00 125.25
Closest atoms and distances in Å follow each position.
Sites, in units of the cell vectors:
Br (0.0000, 0.0000, 0.4927)  2 Co 2.55, 2 W 2.65
Br (0.0000, 0.0000, 0.0073)  2 Co 2.55, 2 W 2.65
W (0.5000, 0.5000, 0.7500)  4 Br 2.65
Co (0.5000, 0.5000, 0.2500)  4 Br 2.55

Values from the calculation:
The calculation puts the total magnetization at 2.35 μB per formula unit. As for the excess energy over the best structure of this formula in the dataset: 879 meV/atom. For the calculated total energy, the calculation gives -4.7903 eV/atom. The value obtained for the density of states at the Fermi level is 6.80 states/eV per cell. For the density, the calculation gives 9.0 Mg/m³.

***

[12]
Below is a geometry-optimized PrLuAl structure, with properties calculated at the GGA-PBE level.

a b c (Å): 3.6754 5.1047 5.1047
angles (deg): 120.00 90.00 90.00
Closest atoms and distances in Å follow each position.
Sites, in units of the cell vectors:
Al (0.7428, 0.6667, 0.3333)  3 Lu 3.00, 3 Pr 3.27
Lu (0.9000, 0.0000, 0.0000)  3 Al 3.00
Pr (0.3572, 0.3333, 0.6667)  3 Al 3.27, 6 Lu 3.39-3.56

Values from the calculation:
The calculation puts the total magnetization at 0.00 μB per formula unit. As for the excess energy over the best structure of this formula in the dataset: 82 meV/atom. The calculated formation energy comes out at -0.401 eV per formula unit. For the calculated total energy, the calculation gives -4.4812 eV/atom. The value obtained for the density of states at the Fermi level is 1.88 states/eV per cell. For the density, the calculation gives 6.9 Mg/m³.